(1)
This record from the Alexandria database describes an optimized crystal structure of Nd3Tm5. The functional is PBE.

As for the raw total energy: -4.56 eV/atom. The calculation puts the size of the total moment at 0.0 Bohr magnetons per cell. The energy above the most stable polymorph in this dataset is 5 meV/atom. As for the formation energy: 0.22 eV per formula unit. Its crystal system is tetragonal.

The space group is P4/mmm (No. 123) and the conventional cell measures 3.561, 3.561 and 20.160 Å, with angles of 90.00, 90.00 and 90.00 degrees. Symmetry generates all atoms from Nd at (0.000, 0.000, 0.000), Nd at (0.500, 0.500, 0.374), Tm at (0.000, 0.000, 0.247), Tm at (0.000, 0.000, 0.500) and Tm at (0.500, 0.500, 0.126).


(2)
This record from the Alexandria database describes an optimized crystal structure of Nd5Tm2. The functional is PBE.

As for the raw total energy: -4.66 eV/atom. The calculation puts the size of the total moment at 0.0 Bohr magnetons per cell. The energy above the most stable polymorph in this dataset is 0 meV/atom. As for the formation energy: 0.18 eV per formula unit. Its crystal system is monoclinic.

The space group is C2/c (No. 15) and the conventional cell measures 16.068, 6.359 and 9.385 Å, with angles of 90.00, 95.08 and 90.00 degrees. Symmetry generates all atoms from Nd at (0.000, 0.169, 0.250), Nd at (0.140, 0.170, 0.963), Nd at (0.216, 0.336, 0.322) and Tm at (0.070, 0.336, 0.607).


(3)
This record from the Alexandria database describes an optimized crystal structure of Nd7Tm2. The functional is PBE.

As for the raw total energy: -4.66 eV/atom. The calculation puts the size of the total moment at 0.0 Bohr magnetons per cell. The energy above the most stable polymorph in this dataset is 22 meV/atom. As for the formation energy: 0.36 eV per formula unit. Its crystal system is hexagonal.

The space group is P-62m (No. 189) and the conventional cell measures 9.9659, 9.9659 and 3.5704 Å, with angles of 90.00, 90.00 and 120.00 degrees. Symmetry generates all atoms from Nd at (0.0000, 0.0000, 0.0000), Nd at (0.0000, 0.3638, 0.0000), Nd at (0.0000, 0.6920, 0.5000) and Tm at (0.3333, 0.6667, 0.5000).


(4)
This record from the Alexandria database describes an optimized crystal structure of NdTm. The functional is PBE.

As for the raw total energy: -4.58 eV/atom. The calculation puts the size of the total moment at 0.0 Bohr magnetons per cell. The energy above the most stable polymorph in this dataset is 16 meV/atom. As for the formation energy: 0.07 eV per formula unit. Its crystal system is hexagonal.

The space group is P-6m2 (No. 187) and the conventional cell measures 3.6342, 3.6342 and 5.7514 Å, with angles of 90.00, 90.00 and 120.00 degrees. Symmetry generates all atoms from Nd at (0.0000, 0.0000, 0.0000) and Tm at (0.6667, 0.3333, 0.5000).


(5)
This record from the Alexandria database describes an optimized crystal structure of Nd3Tm. The functional is PBE.

As for the raw total energy: -4.68 eV/atom. The calculation puts the size of the total moment at 0.0 Bohr magnetons per cell. The energy above the most stable polymorph in this dataset is 2 meV/atom. As for the formation energy: 0.07 eV per formula unit. Its crystal system is tetragonal.

The space group is I4/mmm (No. 139) and the conventional cell measures 5.150, 5.150 and 10.228 Å, with angles of 90.00, 90.00 and 90.00 degrees. Symmetry generates all atoms from Nd at (0.000, 0.000, 0.000), Nd at (0.000, 0.500, 0.250) and Tm at (0.000, 0.000, 0.500).


(6)
This record from the Alexandria database describes an optimized crystal structure of NdTm7. The functional is PBE.

As for the raw total energy: -4.48 eV/atom. The calculation puts the size of the total moment at 0.0 Bohr magnetons per cell. As for the formation energy: 0.22 eV per formula unit. Its crystal system is cubic.

The space group is Fm-3m (No. 225) and the conventional cell measures 9.918, 9.918 and 9.918 Å, with angles of 90.00, 90.00 and 90.00 degrees. Symmetry generates all atoms from Nd at (0.000, 0.000, 0.000), Tm at (0.000, 0.000, 0.500) and Tm at (0.000, 0.250, 0.250).